[1]
{
  "formula": "MnBe5Rh4",
  "functional": "PBE",
  "state": "relaxed",
  "lattice": [[2.7995, 0.0000, 0.0000], [0.0000, 2.7995, 0.0000], [0.0000, 0.0000, 13.7036]],
  "species": ["Be", "Be", "Be", "Be", "Be", "Rh", "Rh", "Rh", "Rh", "Mn"],
  "frac_coords": [[0.5000, 0.5000, 0.5000], [0.5000, 0.5000, 0.2977], [0.5000, 0.5000, 0.1045], [0.5000, 0.5000, 0.8955], [0.5000, 0.5000, 0.7023], [0.0000, 0.0000, 0.3985], [0.0000, 0.0000, 0.8067], [0.0000, 0.0000, 0.1933], [0.0000, 0.0000, 0.6016], [0.0000, 0.0000, 0.0000]],
  "spacegroup": "P4/mmm (123)",
  "vol_a3_per_atom": 10.74,
  "formation_energy_kj_per_mol_atoms": -50.19,
  "dft_energy_ev_per_cell": -62.41
}

[2]
{
  "formula": "MgNb3W",
  "functional": "PBE",
  "state": "relaxed",
  "lattice": [[4.9084, 0.0000, 0.0000], [0.0000, 4.9084, 0.0000], [0.0000, 0.0000, 4.9084]],
  "species": ["Nb", "Nb", "Nb", "Mg", "W"],
  "frac_coords": [[0.0000, 0.0000, 0.5000], [0.0000, 0.5000, 0.0000], [0.5000, 0.0000, 0.0000], [0.5000, 0.5000, 0.5000], [0.0000, 0.0000, 0.0000]],
  "e_above_lowest_polymorph_mev_per_atom": 0,
  "spacegroup": "Pm-3m (221)",
  "vol_a3_per_atom": 23.65,
  "formation_energy_kj_per_mol_atoms": 112.03,
  "dft_energy_ev_per_cell": -38.95
}

[3]
{
  "formula": "MgOs2Ru",
  "functional": "PBE",
  "state": "relaxed",
  "lattice": [[7.4589, 0.0000, 0.0000], [0.0000, 7.4589, 0.0000], [3.7294, 3.7294, 2.4866]],
  "species": ["Os", "Os", "Os", "Os", "Mg", "Mg", "Ru", "Ru"],
  "frac_coords": [[0.0707, 0.6250, 0.2500], [0.8750, 0.9293, 0.7500], [0.6793, 0.1250, 0.2500], [0.3750, 0.3207, 0.7500], [0.5000, 0.5000, 0.0000], [0.2500, 0.7500, 0.5000], [0.7500, 0.2500, 0.5000], [0.0000, 0.0000, 0.0000]],
  "spacegroup": "I-42d (122)",
  "vol_a3_per_atom": 17.29,
  "formation_energy_kj_per_mol_atoms": 77.32,
  "dft_energy_ev_per_cell": -60.25
}

[4]
{
  "formula": "SrAlCd",
  "functional": "PBE",
  "state": "relaxed",
  "lattice": [[5.3131, 0.0000, 0.0000], [2.6565, 4.6013, 0.0000], [2.6565, 1.5338, 4.3381]],
  "species": ["Sr", "Al", "Cd"],
  "frac_coords": [[0.7500, 0.7500, 0.7500], [0.0000, 0.0000, 0.0000], [0.5000, 0.5000, 0.5000]],
  "spacegroup": "F-43m (216)",
  "vol_a3_per_atom": 35.35,
  "formation_energy_kj_per_mol_atoms": 38.37,
  "dft_energy_ev_per_cell": -5.15
}

[5]
{
  "formula": "AsSe2SN",
  "functional": "PBE",
  "state": "relaxed",
  "lattice": [[-2.6942, 3.2333, -2.4798], [-2.4952, -3.6594, -2.0604], [-3.2416, 0.1311, 3.6928]],
  "species": ["S", "Se", "Se", "N", "As"],
  "frac_coords": [[0.0000, 0.0000, 0.0000], [0.5000, 0.0000, 0.0000], [0.0000, 0.5000, 0.0000], [0.5000, 0.5000, 0.5000], [0.0000, 0.0000, 0.5000]],
  "e_above_lowest_polymorph_mev_per_atom": 684,
  "spacegroup": "P4/mmm (123)",
  "vol_a3_per_atom": 23.46,
  "dft_energy_ev_per_cell": -15.77
}

[6]
{
  "formula": "PmEr2N",
  "functional": "PBE",
  "state": "relaxed",
  "lattice": [[-1.8685, -1.3112, 2.1738], [2.5267, -1.2221, 1.4347], [0.6904, 7.2759, 4.9821]],
  "species": ["N", "Er", "Er", "Pm"],
  "frac_coords": [[0.5000, 0.5000, 0.0000], [0.0000, 0.0000, 0.1589], [0.0000, 0.0000, 0.8411], [0.5000, 0.5000, 0.5000]],
  "e_above_lowest_polymorph_mev_per_atom": 615,
  "spacegroup": "P4/mmm (123)",
  "vol_a3_per_atom": 21.97,
  "dft_energy_ev_per_cell": -22.99
}